(1)
A plane-wave DFT calculation with PBE-GGA was carried out for a geometry-optimized CaMnBi3 structure.

- SG = Pm-3m, No. 221
- polymorph energy (0 for the lowest one) (eV per atom) = 1.225
- energy of formation (eV per atom) = 1.43

Cell and atoms, written as extended XYZ:
```
5
Lattice="-3.137 -2.468 4.134 2.786 -4.954 -0.844 3.927 1.544 3.901" Properties=species:S:1:pos:R:3 pbc="T T T"
Ca 0.000 0.000 0.000
Mn 1.788 -2.939 3.596
Bi 1.393 -2.477 -0.422
Bi 1.963 0.772 1.950
Bi -1.568 -1.234 2.067
```



(2)
A plane-wave DFT calculation with PBE-GGA was carried out for a geometry-optimized Sc2InTe structure.

- SG = F-43m, No. 216
- formation energy from raw total energies (eV/atom) = -0.0500
- polymorph energy (0 for the lowest one) (eV per atom) = 0.637

Cell and atoms, written as extended XYZ:
```
4
Lattice="-2.377 3.467 3.057 -2.598 -1.597 4.210 1.875 0.998 4.744" Properties=species:S:1:pos:R:3 pbc="T T T"
In -1.550 1.434 6.006
Sc 0.000 0.000 0.000
Sc -0.775 0.717 3.003
Te -2.325 2.151 9.009
```



(3)
A plane-wave DFT calculation with PBE-GGA was carried out for a geometry-optimized Al3TlGa3 structure.

- SG = Pm-3n, No. 223
- energy of formation (eV per atom) = 0.35

Cell and atoms, written as extended XYZ:
```
14
Lattice="-4.327 -5.335 -2.206 4.237 -4.808 3.315 -3.921 0.693 6.016" Properties=species:S:1:pos:R:3 pbc="T T T"
Tl -2.006 -4.725 3.563
Tl 0.000 0.000 0.000
Al -0.902 -0.855 3.837
Al 1.217 -3.259 5.494
Al -5.105 -2.148 3.409
Al -1.127 -6.405 0.003
Al -3.144 -2.494 0.401
Al 1.036 -3.737 1.106
Ga -3.043 -0.987 2.457
Ga 1.138 -2.231 3.162
Ga 1.014 -6.273 1.383
Ga -5.206 -3.654 1.353
Ga -0.823 -1.884 6.170
Ga -1.105 -3.869 -0.274
```



(4)
A plane-wave DFT calculation with PBE-GGA was carried out for a geometry-optimized BaHg2Mo structure.

- SG = P4mm, No. 99
- polymorph energy (0 for the lowest one) (eV per atom) = 0.239
- energy of formation (eV per atom) = 0.60

Cell and atoms, written as extended XYZ:
```
4
Lattice="-1.939 -2.650 0.403 1.355 -1.403 -2.672 6.470 -3.923 5.341" Properties=species:S:1:pos:R:3 pbc="T T T"
Ba 4.499 -4.931 2.820
Hg 0.205 -0.124 0.169
Hg 1.469 -3.094 0.319
Mo 2.948 -1.787 2.433
```



(5)
A plane-wave DFT calculation with PBE-GGA was carried out for a geometry-optimized Sn3PtPb structure.

- SG = Pm-3m, No. 221
- polymorph energy (0 for the lowest one) (eV per atom) = 1.140
- energy of formation (eV per atom) = 1.19

Cell and atoms, written as extended XYZ:
```
5
Lattice="-1.159 -5.506 -0.509 2.269 -0.948 5.087 -5.043 0.839 2.405" Properties=species:S:1:pos:R:3 pbc="T T T"
Pb 0.000 0.000 0.000
Sn 1.134 -0.474 2.544
Sn -2.522 0.420 1.203
Sn -0.580 -2.753 -0.255
Pt -1.967 -2.808 3.492
```



(6)
A plane-wave DFT calculation with PBE-GGA was carried out for a geometry-optimized Pr6Si2AsCl3 structure.

- SG = C2/m, No. 12
- formation energy from raw total energies (eV/atom) = -1.3135

Cell and atoms, written as extended XYZ:
```
12
Lattice="4.273 0.000 0.000 0.000 8.562 0.290 -2.136 -2.490 9.002" Properties=species:S:1:pos:R:3 pbc="T T T"
Pr 0.000 6.006 6.305
Pr 2.136 4.030 3.266
Pr 2.136 0.067 2.988
Pr 0.000 2.021 0.231
Pr 2.136 4.051 9.062
Pr 0.000 2.042 6.027
Si 2.136 4.043 6.189
Si 0.000 2.030 3.104
As 2.136 0.000 0.000
Cl 2.136 4.281 0.145
Cl 2.136 -0.244 6.062
Cl 0.000 6.316 3.230
```



(7)
A plane-wave DFT calculation with PBE-GGA was carried out for a geometry-optimized NaZrBr2 structure.

- SG = Fm-3m, No. 225
- formation energy from raw total energies (eV/atom) = -0.4182
- polymorph energy (0 for the lowest one) (eV per atom) = 0.424

Cell and atoms, written as extended XYZ:
```
4
Lattice="0.000 3.533 3.533 3.533 0.000 3.533 3.533 3.533 0.000" Properties=species:S:1:pos:R:3 pbc="T T T"
Na 0.000 0.000 0.000
Br 1.767 1.767 1.767
Br 5.300 5.300 5.300
Zr 3.533 3.533 3.533
```



(8)
A plane-wave DFT calculation with PBE-GGA was carried out for a geometry-optimized Sm2ScPbC structure.

- SG = P4/mmm, No. 123
- energy of formation (eV per atom) = -0.50

Cell and atoms, written as extended XYZ:
```
5
Lattice="4.609 0.000 0.000 0.000 5.067 0.000 0.000 0.000 5.067" Properties=species:S:1:pos:R:3 pbc="T T T"
Sm 0.000 0.000 2.534
Sm 0.000 2.534 0.000
Sc 2.305 0.000 0.000
Pb 2.305 2.534 2.534
C 0.000 0.000 0.000
```